[1]
DFT (PBE-GGA) results for an optimized crystal structure of TbGd2Y.

The structure in POSCAR format:
```
TbGd2Y
1.0
-4.3648 -3.4860 -1.0950
-1.1060 -4.3590 3.4899
-4.6292 0.1085 3.3110
Y Gd Tb
1 2 1
Direct
0.5000 0.5000 0.5000
0.2500 0.2500 0.2500
0.7500 0.7500 0.7500
0.0000 0.0000 0.0000
```

Output
Energy relative to the lowest polymorph listed for this composition, eV per atom: 0.0745
Electronic total energy, eV per atom: -9.71
Energy of formation from the pure elements, eV per atom: 0.10
Crystal system: cubic

[2]
DFT (PBE-GGA) results for an optimized crystal structure of TbGdY2.

The structure in POSCAR format:
```
TbGdY2
1.0
-5.1296 -2.4640 -0.2862
-2.5149 -1.9037 4.7453
-4.5730 2.6909 2.0768
Y Gd Tb
2 1 1
Direct
0.2500 0.2500 0.2500
0.7500 0.7500 0.7500
0.5000 0.5000 0.5000
0.0000 0.0000 0.0000
```

Output
Energy relative to the lowest polymorph listed for this composition, eV per atom: 0.0912
Electronic total energy, eV per atom: -7.80
Energy of formation from the pure elements, eV per atom: 0.11
Crystal system: cubic

[3]
DFT (PBE-GGA) results for an optimized crystal structure of Tb2GdY.

The structure in POSCAR format:
```
Tb2GdY
1.0
5.0509 0.0000 0.0000
0.0000 5.0430 0.0000
0.0000 0.0000 5.0430
Y Gd Tb
1 1 2
Direct
0.5000 0.0000 0.0000
0.5000 0.5000 0.5000
0.0000 0.0000 0.5000
0.0000 0.5000 0.0000
```

Output
Energy relative to the lowest polymorph listed for this composition, eV per atom: 0.0000
Electronic total energy, eV per atom: -7.43
Energy of formation from the pure elements, eV per atom: 0.02
Crystal system: tetragonal

[4]
DFT (PBE-GGA) results for an optimized crystal structure of TbGd2Zn.

The structure in POSCAR format:
```
TbGd2Zn
1.0
-0.7521 3.4931 -0.2958
-2.9251 -0.7920 -1.9161
-4.6857 -0.3895 7.3142
Zn Gd Tb
1 2 1
Direct
0.5000 0.5000 0.0000
0.0000 0.0000 0.7918
0.0000 0.0000 0.2082
0.5000 0.5000 0.5000
```

Output
Energy relative to the lowest polymorph listed for this composition, eV per atom: 0.0000
Electronic total energy, eV per atom: -8.67
Energy of formation from the pure elements, eV per atom: -0.15
Crystal system: tetragonal

> The highest electronic total energy belongs to which entry?

Tb2GdY